Density functional theory data (GGA-PBE) for a geometry-optimized MgSc3Ni structure.

The space group is Pm-3m (No. 221) and the conventional cell measures 5.108, 5.108 and 5.108 Å, with angles of 90.00, 90.00 and 90.00 degrees. The asymmetric unit holds Mg at (0.000, 0.000, 0.000), Sc at (0.000, 0.000, 0.500) and Ni at (0.500, 0.500, 0.500).

As for the uncorrected energy: -4.132 eV per atom. For the formation energy, the calculation gives 1.142 eV/atom.